A relaxed structure of CrRe2W, computed with PBE.

The structure in POSCAR format:
```
CrRe2W
1.0
4.5470 -1.3837 0.0000
4.5470 1.3837 0.0000
-0.8510 0.0000 4.6810
Cr Re W
1 2 1
Direct
0.0000 0.0000 0.0000
0.2589 0.2589 0.7539
0.5106 0.5106 0.5109
0.7529 0.7529 0.2444
```

Mass density: 17.15 Mg/m³
Total DFT energy (no corrections): -11.639 eV/atom
Formation energy: 0.23 eV per atom